DFT (PBE-GGA) results for crystalline Cr2PtPb at its relaxed geometry.

It has space group C2/m (No. 12), with a = 9.198 Å, b = 3.001 Å, c = 5.342 Å, α = 90.00°, β = 105.72° and γ = 90.00°. Symmetry generates all atoms from Cr at (0.243, 0.000, 0.145), Pt at (0.000, 0.500, 0.000) and Pb at (0.000, 0.000, 0.500).

As for the formation energy: 0.361 eV per atom. For the total energy, the calculation gives -0.2531 Ha/atom. The crystal system is monoclinic.